1.
The following is a GGA-PBE calculation of a relaxed structure of Ho4AgPdRu2, from Alexandria via LeMat-Bulk.

Summary:
**N(E_F)**: 3.3 states/eV/f.u.
**Crystal system**: trigonal
**Mass density**: 10.8 g/cm3
**Energy of formation**: -528 meV per atom

abc: 8.487 8.487 8.487
angles: 33.49 33.49 33.49
Fractional coordinates of all 8 atoms:
Ho: 0.123 0.123 0.123
Ho: 0.373 0.373 0.373
Ho: 0.627 0.627 0.627
Ho: 0.877 0.877 0.877
Ag: 0.500 0.500 0.500
Pd: 0.000 0.000 0.000
Ru: 0.250 0.250 0.250
Ru: 0.750 0.750 0.750

=====

2.
The following is a GGA-PBE calculation of a relaxed structure of Dy2Np2S7, from Alexandria via LeMat-Bulk.

Summary:
**Formation energy from raw total energies**: -36.8 kcal/mol of atoms
**N(E_F)**: 18.4 states/eV/f.u.
**Crystal system**: orthorhombic
**Offset from the most stable computed form**: 0.00 eV/f.u.
**Mass density**: 7.3 g/cm3

abc: 8.423 8.423 8.423
angles: 153.20 67.52 119.33
Fractional coordinates of all 11 atoms:
Dy: 0.243 0.000 0.243
Dy: 0.757 0.000 0.757
Np: 0.244 0.244 0.000
Np: 0.703 0.203 0.500
S: 0.061 0.693 0.368
S: 0.324 0.693 0.632
S: 0.417 0.524 0.893
S: 0.619 0.303 0.316
S: 0.632 0.524 0.107
S: 0.926 0.926 0.000
S: 0.988 0.303 0.684

=====

Question: Number 2 is which compound?
Answer: Dy2Np2S7